Compound: Al2CdRu
Source: the Alexandria database
Functional: PBE
Structure: optimized geometry

Results
The space group is C2/m. The value obtained for the density of states at the Fermi level is 1.75 states/eV/cell. The calculation puts the formation energy at -0.14 eV per atom.

Cell lengths 4.7363, 4.7363, 4.8460 Å; angles 104.66, 104.66, 39.06 degrees
Last column: nearest neighbours and their distance in Å.
Positions (direct):
Al  0.2303  0.2303  0.2034  3 Ru 2.57-2.84, 2 Al 2.63, 1 Cd 2.81
Al  0.7697  0.7697  0.7966  3 Ru 2.57-2.84, 2 Al 2.63, 1 Cd 2.81
Cd  0.0000  0.0000  0.5000  6 Al 2.81-2.92, 4 Ru 2.89
Ru  0.5000  0.5000  0.0000  6 Al 2.57-2.84